# CaP3C | Alexandria | GGA-PBE | optimized geometry
# - calculated density (g/cm³) = 3.07
# - DFT formation energy (kJ/mol of formula units) = 313
# - ΔE to the lowest computed polymorph (meV per atom) = 0
data_CaP3C
_space_group_name_H-M_alt 'P m -3 m'
_space_group_IT_number 221
_space_group_name_Hall '-P 4 2 3'
_cell_length_a 4.280
_cell_length_b 4.280
_cell_length_c 4.280
_cell_angle_alpha 90.00
_cell_angle_beta 90.00
_cell_angle_gamma 90.00
loop_
_atom_site_label
_atom_site_fract_x
_atom_site_fract_y
_atom_site_fract_z
Ca1 0.000 0.000 0.000
P1 0.000 0.500 0.500
C1 0.500 0.500 0.500

=====

# CaP2C4 | Alexandria | GGA-PBE | optimized geometry
# - calculated density (g/cm³) = 2.24
# - DFT formation energy (kJ/mol of formula units) = 1647
data_CaP2C4
_space_group_name_H-M_alt 'I 4/m m m'
_space_group_IT_number 139
_space_group_name_Hall '-I 4 2'
_cell_length_a 4.477
_cell_length_b 4.477
_cell_length_c 11.097
_cell_angle_alpha 90.00
_cell_angle_beta 90.00
_cell_angle_gamma 90.00
loop_
_atom_site_label
_atom_site_fract_x
_atom_site_fract_y
_atom_site_fract_z
Ca1 0.000 0.000 0.000
P1 0.000 0.000 0.390
C1 0.000 0.000 0.239
C2 0.000 0.500 0.000

=====

# CaPC2 | Alexandria | GGA-PBE | optimized geometry
# - calculated density (g/cm³) = 3.04
# - DFT formation energy (kJ/mol of formula units) = 143
data_CaPC2
_space_group_name_H-M_alt 'I -4 2 d'
_space_group_IT_number 122
_space_group_name_Hall 'I -4 2bw'
_cell_length_a 5.513
_cell_length_b 5.513
_cell_length_c 6.840
_cell_angle_alpha 90.00
_cell_angle_beta 90.00
_cell_angle_gamma 90.00
loop_
_atom_site_label
_atom_site_fract_x
_atom_site_fract_y
_atom_site_fract_z
Ca1 0.000 0.000 0.000
P1 0.000 0.000 0.500
C1 0.136 0.250 0.625

=====

# CaPC | Alexandria | GGA-PBE | optimized geometry
# - calculated density (g/cm³) = 2.50
# - DFT formation energy (kJ/mol of formula units) = -79
data_CaPC
_space_group_name_H-M_alt 'C 1 2/m 1'
_space_group_IT_number 12
_space_group_name_Hall '-C 2y'
_cell_length_a 7.641
_cell_length_b 3.958
_cell_length_c 7.825
_cell_angle_alpha 90.00
_cell_angle_beta 110.99
_cell_angle_gamma 90.00
loop_
_atom_site_label
_atom_site_fract_x
_atom_site_fract_y
_atom_site_fract_z
Ca1 0.062 0.000 0.285
P1 0.149 0.500 0.029
C1 0.088 0.500 0.541

=====

# Ca2PPbC | Alexandria | GGA-PBE | optimized geometry
# - calculated density (g/cm³) = 4.27
# - DFT formation energy (kJ/mol of formula units) = 86
data_Ca2PPbC
_space_group_name_H-M_alt 'P 4/m m m'
_space_group_IT_number 123
_space_group_name_Hall '-P 4 2'
_cell_length_a 5.891
_cell_length_b 5.891
_cell_length_c 3.701
_cell_angle_alpha 90.00
_cell_angle_beta 90.00
_cell_angle_gamma 90.00
loop_
_atom_site_label
_atom_site_fract_x
_atom_site_fract_y
_atom_site_fract_z
Ca1 0.000 0.500 0.000
P1 0.000 0.000 0.000
Pb1 0.500 0.500 0.500
C1 0.000 0.000 0.500

=====

# CaPPb2C | Alexandria | GGA-PBE | optimized geometry
# - calculated density (g/cm³) = 5.34
# - DFT formation energy (kJ/mol of formula units) = 594
data_CaPPb2C
_space_group_name_H-M_alt 'P 4/m m m'
_space_group_IT_number 123
_space_group_name_Hall '-P 4 2'
_cell_length_a 5.370
_cell_length_b 5.370
_cell_length_c 5.365
_cell_angle_alpha 90.00
_cell_angle_beta 90.00
_cell_angle_gamma 90.00
loop_
_atom_site_label
_atom_site_fract_x
_atom_site_fract_y
_atom_site_fract_z
Ca1 0.000 0.000 0.000
P1 0.000 0.000 0.500
Pb1 0.000 0.500 0.500
C1 0.500 0.500 0.000

=====

# CaPPtC2 | Alexandria | GGA-PBE | optimized geometry
# - calculated density (g/cm³) = 5.02
# - DFT formation energy (kJ/mol of formula units) = 1375
data_CaPPtC2
_space_group_name_H-M_alt 'P 4/m m m'
_space_group_IT_number 123
_space_group_name_Hall '-P 4 2'
_cell_length_a 4.284
_cell_length_b 4.284
_cell_length_c 5.227
_cell_angle_alpha 90.00
_cell_angle_beta 90.00
_cell_angle_gamma 90.00
loop_
_atom_site_label
_atom_site_fract_x
_atom_site_fract_y
_atom_site_fract_z
Ca1 0.000 0.000 0.000
P1 0.500 0.500 0.500
Pt1 0.000 0.000 0.500
C1 0.000 0.500 0.000

=====

# Ca2PPtC | Alexandria | GGA-PBE | optimized geometry
# - calculated density (g/cm³) = 3.92
# - DFT formation energy (kJ/mol of formula units) = 252
data_Ca2PPtC
_space_group_name_H-M_alt 'P 4/m m m'
_space_group_IT_number 123
_space_group_name_Hall '-P 4 2'
_cell_length_a 5.569
_cell_length_b 5.569
_cell_length_c 4.346
_cell_angle_alpha 90.00
_cell_angle_beta 90.00
_cell_angle_gamma 90.00
loop_
_atom_site_label
_atom_site_fract_x
_atom_site_fract_y
_atom_site_fract_z
Ca1 0.000 0.500 0.000
P1 0.000 0.000 0.500
Pt1 0.000 0.000 0.000
C1 0.500 0.500 0.500

=====

# CaP2PtC | Alexandria | GGA-PBE | optimized geometry
# - calculated density (g/cm³) = 4.74
# - DFT formation energy (kJ/mol of formula units) = 1055
data_CaP2PtC
_space_group_name_H-M_alt 'P 4/m m m'
_space_group_IT_number 123
_space_group_name_Hall '-P 4 2'
_cell_length_a 5.053
_cell_length_b 5.053
_cell_length_c 4.242
_cell_angle_alpha 90.00
_cell_angle_beta 90.00
_cell_angle_gamma 90.00
loop_
_atom_site_label
_atom_site_fract_x
_atom_site_fract_y
_atom_site_fract_z
Ca1 0.000 0.000 0.000
P1 0.000 0.500 0.000
Pt1 0.500 0.500 0.500
C1 0.000 0.000 0.500

=====

# CaPRu2C | Alexandria | GGA-PBE | optimized geometry
# - calculated density (g/cm³) = 6.33
# - DFT formation energy (kJ/mol of formula units) = -230
data_CaPRu2C
_space_group_name_H-M_alt 'C m c m'
_space_group_IT_number 63
_space_group_name_Hall '-C 2c 2'
_cell_length_a 3.825
_cell_length_b 10.995
_cell_length_c 7.113
_cell_angle_alpha 90.00
_cell_angle_beta 90.00
_cell_angle_gamma 90.00
loop_
_atom_site_label
_atom_site_fract_x
_atom_site_fract_y
_atom_site_fract_z
Ca1 0.000 0.043 0.250
P1 0.000 0.231 0.750
Ru1 0.000 0.335 0.054
C1 0.000 0.500 0.000

=====

# CaP2CS | Alexandria | GGA-PBE | optimized geometry
# - calculated density (g/cm³) = 2.12
# - formation energy from raw total energies (eV per atom) = 0.35
# - ΔE to the lowest computed polymorph (meV per atom) = 0
data_CaP2CS
_space_group_name_H-M_alt 'P 4/m m m'
_space_group_IT_number 123
_space_group_name_Hall '-P 4 2'
_cell_length_a 3.842
_cell_length_b 3.842
_cell_length_c 7.740
_cell_angle_alpha 90.00
_cell_angle_beta 90.00
_cell_angle_gamma 90.00
loop_
_atom_site_label
_atom_site_fract_x
_atom_site_fract_y
_atom_site_fract_z
Ca1 0.000 0.000 0.000
P1 0.000 0.500 0.500
C1 0.500 0.500 0.500
S1 0.500 0.500 0.000

=====

# Ca2PCS | Alexandria | GGA-PBE | optimized geometry
# - calculated density (g/cm³) = 2.68
# - formation energy from raw total energies (eV per atom) = -0.17
data_Ca2PCS
_space_group_name_H-M_alt 'P 4/m m m'
_space_group_IT_number 123
_space_group_name_Hall '-P 4 2'
_cell_length_a 5.164
_cell_length_b 5.164
_cell_length_c 3.611
_cell_angle_alpha 90.00
_cell_angle_beta 90.00
_cell_angle_gamma 90.00
loop_
_atom_site_label
_atom_site_fract_x
_atom_site_fract_y
_atom_site_fract_z
Ca1 0.000 0.500 0.000
P1 0.000 0.000 0.500
C1 0.500 0.500 0.000
S1 0.500 0.500 0.500

=====

# CaP2CS | Alexandria | GGA-PBE | optimized geometry
# - calculated density (g/cm³) = 1.72
# - formation energy from raw total energies (eV per atom) = 2.30
# - ΔE to the lowest computed polymorph (meV per atom) = 1947
data_CaP2CS
_space_group_name_H-M_alt 'P 4/m m m'
_space_group_IT_number 123
_space_group_name_Hall '-P 4 2'
_cell_length_a 5.279
_cell_length_b 5.279
_cell_length_c 5.075
_cell_angle_alpha 90.00
_cell_angle_beta 90.00
_cell_angle_gamma 90.00
loop_
_atom_site_label
_atom_site_fract_x
_atom_site_fract_y
_atom_site_fract_z
Ca1 0.000 0.000 0.000
P1 0.000 0.500 0.000
C1 0.500 0.500 0.500
S1 0.000 0.000 0.500

=====

Record-wise total energy values, in eV/atom: -4.8422, -4.6639, -6.0944, -5.8189, -4.2915, -3.5794, -3.5300, -4.4136, -3.4293, -7.5152, -4.8806, -4.7232, -2.9332